Record 1
! Y3CrRe, optimized geometry, DFT PBEsol; values from VASP
! Calculated volume ... 149.4 Å³/cell
! DOS(E_F) ... 4.31 states/eV/f.u.
! ΔE_f ... 745 meV per atom
! Electronic total energy ... -8.063 eV per atom
&SYSTEM
  ibrav = 0, nat = 5, ntyp = 3
/
ATOMIC_SPECIES
Cr 52.00 Cr.upf
Y 88.91 Y.upf
Re 186.21 Re.upf
CELL_PARAMETERS angstrom
5.3063 0.0000 0.0000
0.0000 5.3063 0.0000
0.0000 0.0000 5.3063
ATOMIC_POSITIONS angstrom
Cr 2.6532 2.6532 2.6532
Y 0.0000 2.6532 0.0000
Y 0.0000 0.0000 2.6532
Re 0.0000 0.0000 0.0000
Y 2.6532 0.0000 0.0000


Record 2
! YHgCl, optimized geometry, DFT PBEsol; values from VASP
! Formation energy (no corrections) ... -0.932 eV/atom
! Calculated volume ... 73.8 Å³/cell
! DOS(E_F) ... 3.01 states/eV/f.u.
! Electronic total energy ... -4.064 eV per atom
&SYSTEM
  ibrav = 0, nat = 3, ntyp = 3
/
ATOMIC_SPECIES
Hg 200.59 Hg.upf
Y 88.91 Y.upf
Cl 35.45 Cl.upf
CELL_PARAMETERS angstrom
-0.2525 2.9642 -1.6393
0.1535 -1.6321 -2.9749
-6.3216 -1.2219 2.2834
ATOMIC_POSITIONS angstrom
Hg -2.4851 0.4535 -2.3161
Y -4.4318 -0.3867 -0.0165
Cl -5.9245 0.1534 -2.3289


Record 3
! Er5Sn18Rh6, optimized geometry, DFT PBEsol; values from VASP
! Calculated volume ... 647.7 Å³/cell
! DOS(E_F) ... 8.47 states/eV/f.u.
! ΔE_f ... -577 meV per atom
! Electronic total energy ... -5.754 eV per atom
&SYSTEM
  ibrav = 0, nat = 29, ntyp = 3
/
ATOMIC_SPECIES
Sn 118.71 Sn.upf
Rh 102.91 Rh.upf
Er 167.26 Er.upf
CELL_PARAMETERS angstrom
9.7120 0.0000 0.0000
4.8560 8.4108 0.0000
4.8560 2.8036 7.9298
ATOMIC_POSITIONS angstrom
Sn 9.7120 5.6072 6.0375
Rh 12.0893 4.2346 5.9060
Rh 12.0893 6.9798 2.0238
Sn 3.2474 5.4144 0.0744
Sn 4.8560 4.6610 5.0799
Sn 1.7907 1.0339 2.7011
Er 12.2402 7.0669 4.9971
Sn 6.3127 0.1052 0.0744
Er 7.1837 7.0669 4.9971
Er 0.0000 0.0000 0.0000
Sn 3.2474 1.8749 5.0799
Rh 7.3346 6.9798 2.0238
Er 9.7120 5.6072 0.8684
Sn 9.7120 7.5613 3.2740
Rh 9.7120 8.3523 5.9060
Sn 7.9213 1.0339 2.7011
Sn 4.8560 2.8036 1.9824
Sn 4.8560 6.3431 2.7011
Sn 14.5679 8.4108 5.9473
Rh 9.7120 2.8621 2.0238
Sn 6.4646 5.4144 0.0744
Sn 7.9213 2.8913 0.0744
Er 9.7120 2.6878 4.9971
Sn 1.7907 2.8913 0.0744
Rh 7.3346 4.2346 5.9060
Sn 11.4042 4.6302 3.2740
Sn 8.0197 4.6302 3.2740
Sn 3.3993 0.1052 0.0744
Sn 6.4646 1.8749 5.0799


Record 4
! LiLaTl2, optimized geometry, DFT PBEsol; values from VASP
! Calculated volume ... 107.9 Å³/cell
! DOS(E_F) ... 1.97 states/eV/f.u.
! ΔE_f ... -332 meV per atom
! Electronic total energy ... -3.475 eV per atom
&SYSTEM
  ibrav = 0, nat = 4, ntyp = 3
/
ATOMIC_SPECIES
Tl 204.38 Tl.upf
Li 6.94 Li.upf
La 138.91 La.upf
CELL_PARAMETERS angstrom
4.0871 0.0000 0.0000
0.0000 5.1375 0.0000
0.0000 0.0000 5.1375
ATOMIC_POSITIONS angstrom
Tl 0.0000 0.0000 2.5687
Li 2.0435 0.0000 0.0000
Tl 0.0000 2.5687 0.0000
La 2.0435 2.5687 2.5687


Record 5
! KYSeS2, optimized geometry, DFT PBEsol; values from VASP
! Formation energy (no corrections) ... -0.263 eV/atom
! Calculated volume ... 145.5 Å³/cell
! DOS(E_F) ... 1.59 states/eV/f.u.
! Electronic total energy ... -4.378 eV per atom
&SYSTEM
  ibrav = 0, nat = 5, ntyp = 4
/
ATOMIC_SPECIES
Y 88.91 Y.upf
S 32.06 S.upf
Se 78.96 Se.upf
K 39.10 K.upf
CELL_PARAMETERS angstrom
5.0438 0.0000 0.0000
0.0000 5.3706 0.0000
0.0000 0.0000 5.3706
ATOMIC_POSITIONS angstrom
Y 2.5219 0.0000 0.0000
S 0.0000 0.0000 2.6853
S 0.0000 2.6853 0.0000
Se 0.0000 0.0000 0.0000
K 2.5219 2.6853 2.6853


Record 6
! Ca3AsF, optimized geometry, DFT PBEsol; values from VASP
! Formation energy (no corrections) ... -1.288 eV/atom
! Calculated volume ... 107.3 Å³/cell
! DOS(E_F) ... 5.37 states/eV/f.u.
! Electronic total energy ... -3.975 eV per atom
&SYSTEM
  ibrav = 0, nat = 5, ntyp = 3
/
ATOMIC_SPECIES
Ca 40.08 Ca.upf
F 19.00 F.upf
As 74.92 As.upf
CELL_PARAMETERS angstrom
4.7513 0.0000 0.0000
0.0000 4.7513 0.0000
0.0000 0.0000 4.7513
ATOMIC_POSITIONS angstrom
Ca 2.3757 0.0000 0.0000
F 0.0000 0.0000 0.0000
Ca 0.0000 2.3757 0.0000
As 2.3757 2.3757 2.3757
Ca 0.0000 0.0000 2.3757


Record 7
! Zr2HgSe, optimized geometry, DFT PBEsol; values from VASP
! Formation energy (no corrections) ... -0.581 eV/atom
! Calculated volume ... 80.1 Å³/cell
! DOS(E_F) ... 2.78 states/eV/f.u.
! Distance to the lowest polymorph of the same formula ... 0 meV per atom
! Electronic total energy ... -6.230 eV per atom
&SYSTEM
  ibrav = 0, nat = 4, ntyp = 3
/
ATOMIC_SPECIES
Zr 91.22 Zr.upf
Se 78.96 Se.upf
Hg 200.59 Hg.upf
CELL_PARAMETERS angstrom
-1.7447 -2.3714 2.6919
2.7830 -4.1183 1.1315
2.5440 -0.2186 4.4121
ATOMIC_POSITIONS angstrom
Zr 0.1886 -2.9088 3.4715
Zr 3.3937 -3.7996 4.7640
Se 2.6635 -2.1685 2.7718
Hg -0.8723 -1.1857 1.3459


Record 8
! LiCdRu2, optimized geometry, DFT PBEsol; values from VASP
! Calculated volume ... 58.3 Å³/cell
! DOS(E_F) ... 4.06 states/eV/f.u.
! ΔE_f ... 351 meV per atom
! Electronic total energy ... -5.526 eV per atom
&SYSTEM
  ibrav = 0, nat = 4, ntyp = 3
/
ATOMIC_SPECIES
Ru 101.07 Ru.upf
Li 6.94 Li.upf
Cd 112.41 Cd.upf
CELL_PARAMETERS angstrom
2.6891 -0.0019 0.0000
-0.4155 4.6368 0.0000
-1.1368 -2.3174 4.6788
ATOMIC_POSITIONS angstrom
Ru 0.5684 1.1587 2.3394
Li -0.2077 2.3184 0.0000
Ru -0.5684 -1.1587 2.3394
Cd 1.3445 -0.0010 0.0000


Record 9
! Hf2Pd2Au, optimized geometry, DFT PBEsol; values from VASP
! Calculated volume ... 176.3 Å³/cell
! DOS(E_F) ... 2.45 states/eV/f.u.
! ΔE_f ... -667 meV per atom
! Electronic total energy ... -8.036 eV per atom
&SYSTEM
  ibrav = 0, nat = 10, ntyp = 3
/
ATOMIC_SPECIES
Hf 178.49 Hf.upf
Pd 106.42 Pd.upf
Au 196.97 Au.upf
CELL_PARAMETERS angstrom
3.2998 0.0000 0.0000
0.0000 7.3085 0.0000
0.0000 0.0000 7.3085
ATOMIC_POSITIONS angstrom
Hf 1.6499 4.9214 6.0414
Hf 1.6499 2.3871 1.2672
Hf 1.6499 1.2672 4.9214
Pd 0.0000 0.9396 2.7146
Hf 1.6499 6.0414 2.3871
Au 0.0000 3.6543 3.6543
Pd 0.0000 6.3689 4.5939
Au 0.0000 0.0000 0.0000
Pd 0.0000 4.5939 0.9396
Pd 0.0000 2.7146 6.3689


Record 10
! TiBi2O4F2, optimized geometry, DFT PBEsol; values from VASP
! Formation energy (no corrections) ... -2.188 eV/atom
! Calculated volume ... 111.7 Å³/cell
! DOS(E_F) ... 0.00 states/eV/f.u.
! Electronic total energy ... -6.827 eV per atom
&SYSTEM
  ibrav = 0, nat = 9, ntyp = 4
/
ATOMIC_SPECIES
Bi 208.98 Bi.upf
F 19.00 F.upf
Ti 47.87 Ti.upf
O 16.00 O.upf
CELL_PARAMETERS angstrom
3.8343 0.0000 0.0000
0.0000 3.8343 0.0000
-1.9171 -1.9171 7.5986
ATOMIC_POSITIONS angstrom
Bi 0.0000 0.0000 5.0685
F 0.0000 0.0000 1.9599
Ti 0.0000 0.0000 0.0000
O 0.0000 1.9171 3.7993
Bi 1.9171 1.9171 2.5302
O 1.9171 0.0000 3.7993
F 1.9171 1.9171 5.6387
O 0.0000 1.9171 0.0000
O 1.9171 0.0000 0.0000


Record 11
! Tl2Cu2SnTe4, optimized geometry, DFT PBEsol; values from VASP
! Formation energy (no corrections) ... -0.145 eV/atom
! Calculated volume ... 243.9 Å³/cell
! DOS(E_F) ... 0.61 states/eV/f.u.
! Electronic total energy ... -3.733 eV per atom
&SYSTEM
  ibrav = 0, nat = 9, ntyp = 4
/
ATOMIC_SPECIES
Te 127.60 Te.upf
Tl 204.38 Tl.upf
Cu 63.55 Cu.upf
Sn 118.71 Sn.upf
CELL_PARAMETERS angstrom
-6.7556 -0.3016 -0.8101
2.4572 -5.5519 -3.3086
-1.7948 -6.3048 2.1990
ATOMIC_POSITIONS angstrom
Te -5.7439 -6.4407 1.2935
Tl -3.9382 -9.2305 0.1321
Tl -4.2693 -3.3022 0.6869
Te -2.4165 -6.0836 -0.5355
Te 1.2185 -3.6290 -1.6591
Cu -4.9676 -6.1693 -1.1426
Cu -0.2547 -5.8347 -1.9051
Te 1.4555 -7.8715 -2.0561
Sn -1.7885 -6.3037 2.1908


Record 12
! Cr2C, optimized geometry, DFT PBEsol; values from VASP
! Calculated volume ... 86.0 Å³/cell
! DOS(E_F) ... 2.57 states/eV/f.u.
! ΔE_f ... -139 meV per atom
! Electronic total energy ... -10.182 eV per atom
&SYSTEM
  ibrav = 0, nat = 9, ntyp = 2
/
ATOMIC_SPECIES
C 12.01 C.upf
Cr 52.00 Cr.upf
CELL_PARAMETERS angstrom
4.3206 0.0000 0.0000
0.0000 4.7935 0.0000
0.0000 -2.3967 4.1513
ATOMIC_POSITIONS angstrom
C 2.1603 2.3967 1.3838
Cr 1.0576 -1.5861 2.7472
Cr 3.2630 -0.8107 1.4041
Cr 3.2630 1.5861 2.7472
Cr 1.0576 3.1721 0.0000
C 0.0000 0.0000 0.0000
Cr 1.0576 0.8107 1.4041
Cr 3.2630 1.6213 0.0000
C 2.1603 0.0000 2.7675